Entry 1:
# ScZn4Br GGA-PBE optimized geometry
data_ScZn4Br
_chemical_formula_sum 'Sc4 Zn16 Br4'
_cell_length_a 7.6974
_cell_length_b 7.6974
_cell_length_c 7.6974
_cell_angle_alpha 90.00
_cell_angle_beta 90.00
_cell_angle_gamma 90.00
_space_group_name_H-M_alt 'F -4 3 m'
_space_group_IT_number 216
_space_group_name_Hall 'F -4 2 3'
loop_
_atom_site_label
_atom_site_type_symbol
_atom_site_fract_x
_atom_site_fract_y
_atom_site_fract_z
Sc1 Sc 0.0000 0.0000 0.0000
Zn1 Zn 0.1272 0.1272 0.6272
Br1 Br 0.2500 0.2500 0.2500
# - magnetic moment (μB per formula unit) = 0.0
# - formation energy without anion corrections (eV/atom) = 0.011


Entry 2:
# ScZn3Br GGA-PBE optimized geometry
data_ScZn3Br
_chemical_formula_sum 'Sc1 Zn3 Br1'
_cell_length_a 5.5042
_cell_length_b 5.5042
_cell_length_c 5.5042
_cell_angle_alpha 90.00
_cell_angle_beta 90.00
_cell_angle_gamma 90.00
_space_group_name_H-M_alt 'P m -3 m'
_space_group_IT_number 221
_space_group_name_Hall '-P 4 2 3'
loop_
_atom_site_label
_atom_site_type_symbol
_atom_site_fract_x
_atom_site_fract_y
_atom_site_fract_z
Sc1 Sc 0.0000 0.0000 0.0000
Zn1 Zn 0.0000 0.0000 0.5000
Br1 Br 0.5000 0.5000 0.5000
# - energy relative to the lowest polymorph listed for this composition (eV/atom) = 0.0000
# - magnetic moment (μB per formula unit) = 0.0
# - formation energy without anion corrections (eV/atom) = 0.497


Entry 3:
# Sc2ZnBr GGA-PBE optimized geometry
data_Sc2ZnBr
_chemical_formula_sum 'Sc4 Zn2 Br2'
_cell_length_a 3.9986
_cell_length_b 3.9986
_cell_length_c 10.6451
_cell_angle_alpha 90.00
_cell_angle_beta 90.00
_cell_angle_gamma 90.00
_space_group_name_H-M_alt 'I -4 m 2'
_space_group_IT_number 119
_space_group_name_Hall 'I -4 -2'
loop_
_atom_site_label
_atom_site_type_symbol
_atom_site_fract_x
_atom_site_fract_y
_atom_site_fract_z
Sc1 Sc 0.0000 0.0000 0.0000
Sc2 Sc 0.0000 0.5000 0.2500
Zn1 Zn 0.0000 0.5000 0.7500
Br1 Br 0.0000 0.0000 0.5000
# - energy relative to the lowest polymorph listed for this composition (eV/atom) = 0.3211
# - magnetic moment (μB per formula unit) = 0.0
# - formation energy without anion corrections (eV/atom) = -0.233


Entry 4:
# Sc2ZnBr GGA-PBE optimized geometry
data_Sc2ZnBr
_chemical_formula_sum 'Sc4 Zn2 Br2'
_cell_length_a 7.0457
_cell_length_b 7.4171
_cell_length_c 3.2432
_cell_angle_alpha 90.00
_cell_angle_beta 101.35
_cell_angle_gamma 90.00
_space_group_name_H-M_alt 'C 1 2/m 1'
_space_group_IT_number 12
loop_
_space_group_symop_operation_xyz
'x,y,z'
'-x,-y,-z'
'-x,y,-z'
'x,-y,z'
'x+1/2,y+1/2,z'
'-x+1/2,-y+1/2,-z'
'-x+1/2,y+1/2,-z'
'x+1/2,-y+1/2,z'
loop_
_atom_site_label
_atom_site_type_symbol
_atom_site_fract_x
_atom_site_fract_y
_atom_site_fract_z
Sc1 Sc 0.2500 0.2500 0.0000
Zn1 Zn 0.0000 0.0000 0.5000
Br1 Br 0.0000 0.5000 0.5000
# - energy relative to the lowest polymorph listed for this composition (eV/atom) = 0.1997
# - magnetic moment (μB per formula unit) = 0.6
# - formation energy without anion corrections (eV/atom) = -0.354


Density of states at the Fermi level, respectively: 16.908, 3.674, 8.805, 8.053 states/eV/cell.